1.
Entry from the Alexandria database: an optimized crystal structure of ScSb2Pb (PBE).

Structure (POSCAR):
```
ScSb2Pb
1.0
3.994 0.000 0.000
0.000 3.994 0.000
0.000 0.000 6.676
Sb Pb Sc
2 1 1
Direct
0.000 0.000 0.030 Sb
0.000 0.000 0.470 Sb
0.500 0.500 0.750 Pb
0.500 0.500 0.250 Sc
```

Calculated values
As for the space-group type: No. 123. The uncorrected formation energy comes out at -1.30 eV/f.u.

***

2.
Entry from the Alexandria database: an optimized crystal structure of Sm2HoEr9 (PBE).

Structure (POSCAR):
```
Sm2HoEr9
1.0
3.478 0.000 0.000
0.000 11.151 0.000
0.000 -5.576 9.657
Er Sm Ho
9 2 1
Direct
0.000 0.500 0.000 Er
0.000 0.500 0.500 Er
0.000 0.000 0.500 Er
0.500 0.175 0.350 Er
0.500 0.350 0.175 Er
0.500 0.825 0.175 Er
0.500 0.175 0.825 Er
0.500 0.825 0.650 Er
0.500 0.650 0.825 Er
0.000 0.333 0.667 Sm
0.000 0.667 0.333 Sm
0.000 0.000 0.000 Ho
```

Calculated values
The polymorph energy (0 for the lowest one) comes out at 43 meV per atom. The calculation puts the formation energy at 6.4 kJ per mole of atoms. As for the space-group type: No. 191.

***

3.
Entry from the Alexandria database: an optimized crystal structure of LaThGeO (PBE).

Structure (POSCAR):
```
LaThGeO
1.0
4.485 0.000 0.000
0.000 4.485 0.000
0.000 0.000 9.653
La Th O Ge
2 2 2 2
Direct
0.500 0.000 0.106 La
0.000 0.500 0.894 La
0.500 0.500 0.500 Th
0.000 0.000 0.500 Th
0.000 0.000 0.000 O
0.500 0.500 0.000 O
0.500 0.000 0.709 Ge
0.000 0.500 0.291 Ge
```

Calculated values
As for the space-group type: No. 129. The uncorrected formation energy comes out at -6.27 eV/f.u.

***

4.
Entry from the Alexandria database: an optimized crystal structure of La5Sm7 (PBE).

Structure (POSCAR):
```
La5Sm7
1.0
3.651 0.000 0.576
1.463 9.330 2.585
-0.090 0.220 12.435
Sm La
7 5
Direct
0.639 0.971 0.751 Sm
0.334 0.335 0.997 Sm
0.666 0.665 0.003 Sm
0.500 0.500 0.500 Sm
0.026 0.698 0.249 Sm
0.974 0.302 0.751 Sm
0.361 0.029 0.249 Sm
0.000 0.000 0.000 La
0.694 0.363 0.250 La
0.306 0.637 0.750 La
0.834 0.834 0.497 La
0.166 0.166 0.503 La
```

Calculated values
The polymorph energy (0 for the lowest one) comes out at 0 meV per atom. The calculation puts the formation energy at 0.8 kJ per mole of atoms. As for the space-group type: No. 12.

***

Number 1: mass density 7.7 g cm⁻³, volume 26.63 Å³ per atom. Number 2: mass density 8.7 g cm⁻³, volume 31.21 Å³ per atom. Number 3: mass density 7.9 g cm⁻³, volume 24.27 Å³ per atom. Number 4: mass density 6.9 g cm⁻³, volume 35.18 Å³ per atom.